# 1
Computed, not measured: an optimized crystal structure of InSi2Ge at the GGA-PBE level of DFT.

Values from the calculation:
- Energy relative to the elements, uncorrected: 270 meV per atom
- Polymorph energy (0 for the lowest one): 0.0 meV/atom

The structure in CIF format:
```
data_InSi2Ge
_chemical_formula_sum 'In4 Si8 Ge4'
_cell_length_a 5.9181
_cell_length_b 5.9181
_cell_length_c 11.3898
_cell_angle_alpha 90.00
_cell_angle_beta 90.00
_cell_angle_gamma 90.00
_symmetry_space_group_name_H-M 'I -4 2 d'
_symmetry_Int_Tables_number 122
_symmetry_space_group_name_Hall 'I -4 2bw'
loop_
_atom_site_label
_atom_site_type_symbol
_atom_site_fract_x
_atom_site_fract_y
_atom_site_fract_z
In1 In 0.0000 0.0000 0.0000
Si1 Si 0.2204 0.2500 0.6250
Ge1 Ge 0.0000 0.0000 0.5000
```



# 2
Computed, not measured: an optimized crystal structure of CePr at the GGA-PBE level of DFT.

Values from the calculation:
- Energy relative to the elements: 106 meV per atom
- Polymorph energy (0 for the lowest one): 0.0 meV/atom

The structure in CIF format:
```
data_CePr
_chemical_formula_sum 'Ce2 Pr2'
_cell_length_a 3.6305
_cell_length_b 4.2453
_cell_length_c 8.3079
_cell_angle_alpha 90.00
_cell_angle_beta 93.98
_cell_angle_gamma 90.00
_symmetry_space_group_name_H-M 'P 1 21/m 1'
_symmetry_Int_Tables_number 11
loop_
_symmetry_equiv_pos_as_xyz
'x,y,z'
'-x,-y,-z'
'-x,y+1/2,-z'
'x,-y+1/2,z'
loop_
_atom_site_label
_atom_site_type_symbol
_atom_site_fract_x
_atom_site_fract_y
_atom_site_fract_z
Ce1 Ce 0.1758 0.2500 0.0789
Pr1 Pr 0.2787 0.2500 0.6426
```



| no. | E (eV for the cell shown) |
| --- | --- |
| 1 | -68.49 |
| 2 | -21.00 |